Compound: CePmEr4
Source: the Alexandria database
Functional: PBE-GGA
Structure: optimized geometry

Cell lengths 6.5422, 6.5422, 10.3740 Å; angles 90.00, 90.00, 120.35 degrees
Site moments in Bohr magnetons follow the coordinates.
Sites, in units of the cell vectors:
Er1 0.3391 0.6609 0.4318  0.08
Er2 0.3391 0.6609 0.0682  0.08
Er3 0.1654 0.3461 0.7500  0.11
Er4 0.6609 0.3391 0.9318  0.08
Er5 0.8346 0.6539 0.2500  0.11
Er6 0.6609 0.3391 0.5682  0.08
Er7 0.3461 0.1654 0.2500  0.11
Er8 0.6539 0.8346 0.7500  0.11
Ce1 0.0000 0.0000 0.0000  0.79
Ce2 0.0000 0.0000 0.5000  0.79
Pm1 0.1696 0.8304 0.7500  0.07
Pm2 0.8304 0.1696 0.2500  0.07

magnetic moment: 1.64 μB per formula unit
offset from the most stable computed form: 225 meV/atom
total DFT energy (no corrections): -0.1681 Ha/atom
density of states at the Fermi level: 23.5 states/eV/cell
energy of formation: 0.248 eV per atom